# 1
Below is a relaxed structure of Pm2Nd3Ga2, with properties calculated at the PBE-GGA level.

abc: 4.2309 6.5407 8.8648
angles: 112.07 90.00 108.87
With the nearest neighbours (Å) after each atom.
Atoms (fractional coordinates):
Pm 0.8459 0.6918 0.1855  2 Ga 3.07
Pm 0.1541 0.3082 0.8145  2 Ga 3.07
Nd 0.5000 0.0000 0.0000  4 Ga 3.08
Nd 0.6185 0.2370 0.4365  3 Ga 3.14-3.16
Nd 0.3815 0.7630 0.5635  3 Ga 3.14-3.16
Ga 0.8254 0.6507 0.7865  2 Pm 3.07, 5 Nd 3.08-3.16
Ga 0.1746 0.3493 0.2135  2 Pm 3.07, 5 Nd 3.08-3.16

## Properties
Magnetic moment   0.000 μB per atom
E   -4.5568 eV per atom
E_form   -0.291 eV/atom

=====

# 2
Below is a relaxed structure of Pm5Nd4Ga4, with properties calculated at the PBE-GGA level.

abc: 5.1800 8.8892 8.8892
angles: 85.13 73.06 73.06
With the nearest neighbours (Å) after each atom.
Atoms (fractional coordinates):
Pm 0.6843 0.9264 0.7050  3 Ga 3.08-3.09, 2 Nd 3.45
Pm 0.3157 0.0736 0.2950  3 Ga 3.08-3.09, 2 Nd 3.45
Pm 0.0000 0.0000 0.0000  4 Ga 3.09
Pm 0.6107 0.7050 0.0736  3 Ga 3.08-3.09, 2 Nd 3.45
Pm 0.3893 0.2950 0.9264  3 Ga 3.08-3.09, 2 Nd 3.45
Nd 0.9052 0.4679 0.7218  3 Ga 3.04-3.34
Nd 0.6270 0.2782 0.4679  3 Ga 3.04-3.34
Nd 0.0948 0.5321 0.2782  3 Ga 3.04-3.34
Nd 0.3730 0.7218 0.5321  3 Ga 3.04-3.34
Ga 0.7697 0.3446 0.1161  3 Nd 3.04-3.34, 4 Pm 3.08-3.09
Ga 0.2303 0.6554 0.8839  3 Nd 3.04-3.34, 4 Pm 3.08-3.09
Ga 0.8857 0.8839 0.3446  3 Nd 3.04-3.34, 4 Pm 3.08-3.09
Ga 0.1143 0.1161 0.6554  3 Nd 3.04-3.34, 4 Pm 3.08-3.09

## Properties
Magnetic moment   0.000 μB per atom
E   -4.5985 eV per atom
E_form   -0.373 eV/atom

=====

- What is the magnetic moment in the second record?
  0.000 μB per atom

=====

- What is the magnetic moment in the second record?
  0.000 μB per atom